--- a ---
{
  "formula": "NdEr5Sc",
  "functional": "PBE-GGA",
  "state": "optimized geometry",
  "lattice_angstrom": [[-4.020, 5.691, 2.993], [4.020, -5.691, 2.993], [4.020, 5.691, -2.993]],
  "species": ["Nd", "Er", "Er", "Er", "Er", "Er", "Sc"],
  "fractional_positions": [[0.000, 0.000, 0.000], [0.475, 0.475, 0.000], [0.486, 0.738, 0.748], [0.743, 0.067, 0.324], [0.743, 0.419, 0.676], [0.989, 0.738, 0.252], [0.245, 0.745, 0.500]],
  "space_group": "No. 44",
  "dos_at_fermi_per_ev_cell": 9.7
}

--- b ---
{
  "formula": "NdEr5Sc",
  "functional": "PBE-GGA",
  "state": "optimized geometry",
  "lattice_angstrom": [[5.453, -6.258, 0.000], [5.453, 6.258, 0.000], [-2.360, 0.000, 6.477]],
  "species": ["Nd", "Nd", "Er", "Er", "Er", "Er", "Er", "Er", "Er", "Er", "Er", "Er", "Sc", "Sc"],
  "fractional_positions": [[0.154, 0.846, 0.750], [0.846, 0.154, 0.250], [0.110, 0.890, 0.250], [0.231, 0.279, 0.639], [0.279, 0.231, 0.139], [0.338, 0.607, 0.465], [0.393, 0.662, 0.035], [0.607, 0.338, 0.965], [0.662, 0.393, 0.535], [0.721, 0.769, 0.861], [0.769, 0.721, 0.361], [0.890, 0.110, 0.750], [0.000, 0.500, 0.000], [0.500, 0.000, 0.500]],
  "space_group": "No. 15",
  "dos_at_fermi_per_ev_cell": 21.2
}

Which structure is the least stable? The one labeled a.

--- a ---
{
  "formula": "Nd7Er3Sc",
  "functional": "PBE-GGA",
  "state": "optimized geometry",
  "lattice_angstrom": [[6.356, -5.695, 0.000], [6.356, 5.695, 0.000], [-2.666, 0.000, 5.178]],
  "species": ["Nd", "Nd", "Nd", "Nd", "Nd", "Nd", "Nd", "Er", "Er", "Er", "Sc"],
  "fractional_positions": [[0.000, 0.000, 0.000], [0.097, 0.524, 0.311], [0.286, 0.286, 0.787], [0.476, 0.903, 0.689], [0.524, 0.097, 0.311], [0.714, 0.714, 0.213], [0.903, 0.476, 0.689], [0.297, 0.703, 0.000], [0.500, 0.500, 0.500], [0.703, 0.297, 0.000], [0.000, 0.000, 0.500]],
  "space_group": "No. 12",
  "dos_at_fermi_per_ev_cell": 13.7
}

--- b ---
{
  "formula": "Nd7Er3Sc",
  "functional": "PBE-GGA",
  "state": "optimized geometry",
  "lattice_angstrom": [[7.032, 0.000, 0.000], [3.420, 9.475, 0.000], [0.000, 0.000, 11.139]],
  "species": ["Nd", "Nd", "Nd", "Nd", "Nd", "Nd", "Nd", "Nd", "Nd", "Nd", "Nd", "Nd", "Nd", "Nd", "Er", "Er", "Er", "Er", "Er", "Er", "Sc", "Sc"],
  "fractional_positions": [[0.000, 0.000, 0.000], [0.000, 0.000, 0.463], [0.059, 0.845, 0.731], [0.116, 0.760, 0.231], [0.251, 0.495, 0.732], [0.320, 0.357, 0.026], [0.320, 0.357, 0.437], [0.513, 0.990, 0.526], [0.513, 0.991, 0.937], [0.584, 0.852, 0.232], [0.717, 0.587, 0.731], [0.778, 0.502, 0.231], [0.833, 0.347, 0.963], [0.834, 0.347, 0.500], [0.152, 0.182, 0.732], [0.174, 0.150, 0.232], [0.417, 0.674, 0.982], [0.418, 0.673, 0.481], [0.660, 0.197, 0.732], [0.682, 0.166, 0.232], [0.917, 0.673, 0.482], [0.917, 0.674, 0.981]],
  "space_group": "No. 1",
  "dos_at_fermi_per_ev_cell": 33.1
}

Which structure is the least stable? The one labeled a.

--- a ---
{
  "formula": "NdEr2Sc",
  "functional": "PBE-GGA",
  "state": "optimized geometry",
  "lattice_angstrom": [[3.048, -1.761, 0.000], [3.048, 1.761, 0.000], [-2.032, 0.000, 11.237]],
  "species": ["Nd", "Er", "Er", "Sc"],
  "fractional_positions": [[0.000, 0.000, 0.000], [0.421, 0.421, 0.261], [0.580, 0.580, 0.734], [0.166, 0.166, 0.496]],
  "space_group": "No. 8",
  "dos_at_fermi_per_ev_cell": 6.9
}

--- b ---
{
  "formula": "NdEr2Sc",
  "functional": "PBE-GGA",
  "state": "optimized geometry",
  "lattice_angstrom": [[0.000, 3.933, 3.933], [3.933, 0.000, 3.933], [3.933, 3.933, 0.000]],
  "species": ["Nd", "Er", "Er", "Sc"],
  "fractional_positions": [[0.000, 0.000, 0.000], [0.250, 0.250, 0.250], [0.750, 0.750, 0.750], [0.500, 0.500, 0.500]],
  "space_group": "No. 225",
  "dos_at_fermi_per_ev_cell": 9.1
}

Which structure is the least stable? The one labeled b.